1.
VASP calculation (GGA-PBE) on crystalline RbBaNb at its relaxed geometry.

a b c (Å): 8.645 8.645 8.645
angles (deg): 90.00 90.00 90.00
Space group F-43m (No. 216)
Symmetry-distinct sites (fractional):
Rb1 0.000 0.000 0.000 x4
Ba1 0.250 0.250 0.750 x4
Nb1 0.000 0.000 0.500 x4

Values from the calculation:
- V: 646 Å³/cell
- E above lowest polymorph: 0.00 kcal/mol of atoms
- Magnetic moment: 1.976 μB/atom


2.
VASP calculation (GGA-PBE) on crystalline SmYNi4 at its relaxed geometry.

a b c (Å): 4.012 7.118 7.145
angles (deg): 90.00 90.00 90.00
Space group Imm2 (No. 44)
Symmetry-distinct sites (fractional):
Sm1 0.000 0.000 0.000 x2
Y1 0.000 0.500 0.936 x2
Ni1 0.000 0.207 0.629 x4
Ni2 0.000 0.286 0.305 x4

Values from the calculation:
- V: 204 Å³/cell
- E above lowest polymorph: 0.95 kcal/mol of atoms
- Magnetic moment: 0.012 μB/atom
- Energy of formation: -0.3525 eV/atom


3.
VASP calculation (GGA-PBE) on crystalline DyYHo at its relaxed geometry.

a b c (Å): 7.662 7.662 7.662
angles (deg): 90.00 90.00 90.00
Space group F-43m (No. 216)
Symmetry-distinct sites (fractional):
Dy1 0.000 0.000 0.000 x4
Y1 0.000 0.000 0.500 x4
Ho1 0.250 0.250 0.250 x4

Values from the calculation:
- V: 450 Å³/cell
- E above lowest polymorph: 0.00 kcal/mol of atoms
- Magnetic moment: 0.014 μB/atom
- Energy of formation: 0.7285 eV/atom


4.
VASP calculation (GGA-PBE) on crystalline NdYZn2Au4 at its relaxed geometry.

a b c (Å): 4.901 4.901 6.917
angles (deg): 90.00 90.00 90.00
Space group P4/mmm (No. 123)
Symmetry-distinct sites (fractional):
Nd1 0.000 0.000 0.000 x1
Y1 0.500 0.500 0.500 x1
Zn1 0.000 0.000 0.500 x1
Zn2 0.500 0.500 0.000 x1
Au1 0.000 0.500 0.259 x4

Values from the calculation:
- V: 166 Å³/cell
- Magnetic moment: 0.000 μB/atom
- Energy of formation: -0.6051 eV/atom


5.
VASP calculation (GGA-PBE) on crystalline FeAg2Os at its relaxed geometry.

a b c (Å): 6.282 6.282 6.282
angles (deg): 90.00 90.00 90.00
Space group F-43m (No. 216)
Symmetry-distinct sites (fractional):
Fe1 0.000 0.000 0.000 x4
Ag1 0.000 0.000 0.500 x4
Ag2 0.250 0.250 0.250 x4
Os1 0.250 0.250 0.750 x4

Values from the calculation:
- V: 248 Å³/cell
- Magnetic moment: 0.983 μB/atom
- Energy of formation: 0.7116 eV/atom


6.
VASP calculation (GGA-PBE) on crystalline KCuNiTe2S at its relaxed geometry.

a b c (Å): 3.949 13.086 11.041
angles (deg): 90.00 90.00 90.00
Space group Cmcm (No. 63)
Symmetry-distinct sites (fractional):
K1 0.000 0.234 0.250 x4
Cu1 0.000 0.045 0.750 x4
Ni1 0.000 0.500 0.000 x4
Te1 0.000 0.124 0.533 x8
S1 0.000 0.465 0.750 x4

Values from the calculation:
- V: 571 Å³/cell
- DFT total energy: -90.55 eV/cell
- Magnetic moment: 0.001 μB/atom


7.
VASP calculation (GGA-PBE) on crystalline BeCuPbW at its relaxed geometry.

a b c (Å): 6.305 6.305 6.305
angles (deg): 90.00 90.00 90.00
Space group F-43m (No. 216)
Symmetry-distinct sites (fractional):
Be1 0.000 0.000 0.000 x4
Cu1 0.000 0.000 0.500 x4
Pb1 0.250 0.250 0.250 x4
W1 0.250 0.250 0.750 x4

Values from the calculation:
- V: 251 Å³/cell
- E above lowest polymorph: 0.00 kcal/mol of atoms
- Magnetic moment: 0.302 μB/atom


8.
VASP calculation (GGA-PBE) on crystalline CuSi2Sb at its relaxed geometry.

a b c (Å): 6.536 6.536 6.536
angles (deg): 90.00 90.00 90.00
Space group F-43m (No. 216)
Symmetry-distinct sites (fractional):
Cu1 0.000 0.000 0.000 x4
Si1 0.000 0.000 0.500 x4
Si2 0.250 0.250 0.250 x4
Sb1 0.250 0.250 0.750 x4

Values from the calculation:
- V: 279 Å³/cell
- DFT total energy: -65.97 eV/cell